{
  "formula": "PaCoTe",
  "functional": "GGA-PBE",
  "state": "optimized geometry",
  "lattice_angstrom": [[-1.884, 1.884, 10.118], [1.884, -1.884, 10.118], [1.884, 1.884, -10.118]],
  "species": ["Pa", "Pa", "Co", "Co", "Te", "Te"],
  "fractional_positions": [[0.091, 0.091, 0.000], [0.909, 0.909, 0.000], [0.000, 0.500, 0.500], [0.500, 0.000, 0.500], [0.325, 0.325, 0.000], [0.675, 0.675, 0.000]],
  "dft_energy_ev_per_atom": -7.032,
  "n_ef_per_ev_cell": 5.4,
  "formation_energy_uncorrected_ev_per_atom": -0.4505,
  "polymorph_energy_kj_per_mol_fu": 37,
  "m_tot_mub_per_fu": 0.00,
  "space_group": "I4/mmm, No. 139"
}